[1]
A relaxed Cs3Ag2SbI9 crystal. Source: the Alexandria database, functional PBE.

Structure (CIF):
```
data_Cs3Ag2SbI9
_cell_length_a 8.4664
_cell_length_b 8.4664
_cell_length_c 10.4506
_cell_angle_alpha 90.00
_cell_angle_beta 90.00
_cell_angle_gamma 120.00
_space_group_name_H-M_alt 'P -3 m 1'
_space_group_IT_number 164
_space_group_name_Hall '-P 3 2"'
loop_
_atom_site_label
_atom_site_fract_x
_atom_site_fract_y
_atom_site_fract_z
Cs1 0.0000 0.0000 0.0000
Cs2 0.3333 0.6667 0.6779
Ag1 0.3333 0.6667 0.1540
Sb1 0.0000 0.0000 0.5000
I1 0.0000 0.5000 0.0000
I2 0.1681 0.3362 0.3325
```

## Properties
E_form (uncorrected)   -0.7716 eV/atom

[2]
A relaxed MnBeBr crystal. Source: the Alexandria database, functional PBE.

Structure (CIF):
```
data_MnBeBr
_cell_length_a 3.3416
_cell_length_b 5.5302
_cell_length_c 12.0428
_cell_angle_alpha 90.00
_cell_angle_beta 90.00
_cell_angle_gamma 90.00
_space_group_name_H-M_alt 'F m m 2'
_space_group_IT_number 42
_space_group_name_Hall 'F 2 -2'
loop_
_atom_site_label
_atom_site_fract_x
_atom_site_fract_y
_atom_site_fract_z
Mn1 0.0000 0.0000 0.0000
Be1 0.0000 0.0000 0.6371
Br1 0.0000 0.0000 0.2619
```

## Properties
E_form (uncorrected)   0.4882 eV/atom
Energy above the most stable polymorph in this dataset   57 meV per atom

[3]
A relaxed DyPuCuPt crystal. Source: the Alexandria database, functional PBE.

Structure (CIF):
```
data_DyPuCuPt
_cell_length_a 6.9859
_cell_length_b 6.9859
_cell_length_c 6.9859
_cell_angle_alpha 90.00
_cell_angle_beta 90.00
_cell_angle_gamma 90.00
_space_group_name_H-M_alt 'F -4 3 m'
_space_group_IT_number 216
_space_group_name_Hall 'F -4 2 3'
loop_
_atom_site_label
_atom_site_fract_x
_atom_site_fract_y
_atom_site_fract_z
Dy1 0.0000 0.0000 0.0000
Pu1 0.0000 0.0000 0.5000
Cu1 0.2500 0.2500 0.2500
Pt1 0.2500 0.2500 0.7500
```

## Properties
Energy of formation   -517.4 meV/atom

[4]
A relaxed ScTl2TeO6 crystal. Source: the Alexandria database, functional PBE.

Structure (CIF):
```
data_ScTl2TeO6
_cell_length_a 5.7836
_cell_length_b 5.7836
_cell_length_c 8.1646
_cell_angle_alpha 90.00
_cell_angle_beta 90.00
_cell_angle_gamma 90.00
_space_group_name_H-M_alt 'I 4/m m m'
_space_group_IT_number 139
_space_group_name_Hall '-I 4 2'
loop_
_atom_site_label
_atom_site_fract_x
_atom_site_fract_y
_atom_site_fract_z
Sc1 0.0000 0.0000 0.0000
Tl1 0.0000 0.5000 0.2500
Te1 0.0000 0.0000 0.5000
O1 0.0000 0.0000 0.2606
O2 0.2392 0.2392 0.5000
```

## Properties
E_form (uncorrected)   -1.4416 eV/atom

[5]
A relaxed Zr2InBr crystal. Source: the Alexandria database, functional PBE.

Structure (CIF):
```
data_Zr2InBr
_cell_length_a 3.3193
_cell_length_b 4.6517
_cell_length_c 12.2920
_cell_angle_alpha 90.00
_cell_angle_beta 90.00
_cell_angle_gamma 90.00
_space_group_name_H-M_alt 'I m m 2'
_space_group_IT_number 44
loop_
_space_group_symop_operation_xyz
'x,y,z'
'-x,-y,z'
'-x,y,z'
'x,-y,z'
'x+1/2,y+1/2,z+1/2'
'-x+1/2,-y+1/2,z+1/2'
'-x+1/2,y+1/2,z+1/2'
'x+1/2,-y+1/2,z+1/2'
loop_
_atom_site_label
_atom_site_fract_x
_atom_site_fract_y
_atom_site_fract_z
Zr1 0.0000 0.0000 0.0000
Zr2 0.0000 0.5000 0.2743
In1 0.0000 0.0000 0.4345
Br1 0.0000 0.5000 0.6847
```

## Properties
E_form (uncorrected)   -0.1854 eV/atom
Energy above the most stable polymorph in this dataset   233 meV per atom

[6]
A relaxed Ce2NdRu crystal. Source: the Alexandria database, functional PBE.

Structure (CIF):
```
data_Ce2NdRu
_cell_length_a 5.5421
_cell_length_b 5.5421
_cell_length_c 11.1629
_cell_angle_alpha 90.00
_cell_angle_beta 90.00
_cell_angle_gamma 120.00
_space_group_name_H-M_alt 'R -3 m'
_space_group_IT_number 166
_space_group_name_Hall '-R 3 2"'
loop_
_atom_site_label
_atom_site_fract_x
_atom_site_fract_y
_atom_site_fract_z
Ce1 0.0000 0.0000 0.2327
Nd1 0.0000 0.0000 0.5000
Ru1 0.0000 0.0000 0.0000
```

## Properties
Energy of formation   82.7 meV/atom
Energy above the most stable polymorph in this dataset   292 meV per atom

[7]
A relaxed Sr3Hg4Bi2 crystal. Source: the Alexandria database, functional PBE.

Structure (CIF):
```
data_Sr3Hg4Bi2
_cell_length_a 4.8298
_cell_length_b 6.9689
_cell_length_c 9.8977
_cell_angle_alpha 70.98
_cell_angle_beta 89.95
_cell_angle_gamma 69.74
_space_group_name_H-M_alt 'P -1'
_space_group_IT_number 2
loop_
_space_group_symop_operation_xyz
'x,y,z'
'-x,-y,-z'
loop_
_atom_site_label
_atom_site_fract_x
_atom_site_fract_y
_atom_site_fract_z
Sr1 0.0000 0.0000 0.0000
Sr2 0.3237 0.3521 0.3593
Hg1 0.0007 0.9987 0.6499
Hg2 0.2237 0.5531 0.9081
Bi1 0.3845 0.2314 0.7317
```

## Properties
Energy of formation   -582.0 meV/atom